Computed, not measured: a geometry-optimized Tl3InHgPb structure at the PBE level of DFT.

Unit cell a=9.030 b=3.717 c=11.296 alpha=90.00 beta=110.35 gamma=90.00
Space group P2_1/m (No. 11)
One atom of each set of equivalent atoms:
1 Tl 0.135 0.250 0.285 [2 per cell]
2 Tl 0.172 0.750 0.551 [2 per cell]
3 Tl 0.180 0.750 0.040 [2 per cell]
4 In 0.483 0.750 0.874 [2 per cell]
5 Hg 0.184 0.250 0.796 [2 per cell]
6 Pb 0.479 0.750 0.367 [2 per cell]

Computed properties:
Final energy, eV/atom: -2.303
Density, g/cm3: 10.61
ΔE_f, kJ/mol of formula units: 3

***

Computed, not measured: a geometry-optimized Dy2AlZn structure at the PBE level of DFT.

Unit cell a=3.567 b=3.567 c=7.249 alpha=90.00 beta=90.00 gamma=90.00
Space group P4/mmm (No. 123)
One atom of each set of equivalent atoms:
1 Dy 0.000 0.000 0.245 [2 per cell]
2 Al 0.500 0.500 0.500 [1 per cell]
3 Zn 0.500 0.500 0.000 [1 per cell]

Computed properties:
Distance to the lowest polymorph of the same formula, eV/f.u.: 0.000
Final energy, eV/atom: -3.936
Density, g/cm3: 7.52
ΔE_f, kJ/mol of formula units: -147

***

Computed, not measured: a geometry-optimized TbDyAu6 structure at the PBE level of DFT.

Unit cell a=9.172 b=4.533 c=9.041 alpha=90.00 beta=119.46 gamma=90.00
Space group C2/m (No. 12)
One atom of each set of equivalent atoms:
1 Tb 0.000 0.000 0.000 [2 per cell]
2 Dy 0.000 0.000 0.500 [2 per cell]
3 Au 0.001 0.500 0.750 [4 per cell]
4 Au 0.249 0.500 0.126 [4 per cell]
5 Au 0.249 0.500 0.624 [4 per cell]

Computed properties:
Final energy, eV/atom: -4.285
Density, g/cm3: 15.25
ΔE_f, kJ/mol of formula units: -520

***

Computed, not measured: a geometry-optimized La4TbTm6 structure at the PBE level of DFT.

Unit cell a=6.725 b=6.725 c=16.934 alpha=90.00 beta=90.00 gamma=90.00
Space group I-42m (No. 121)
One atom of each set of equivalent atoms:
1 La 0.190 0.190 0.323 [8 per cell]
2 Tb 0.000 0.000 0.500 [2 per cell]
3 Tm 0.000 0.500 0.000 [4 per cell]
4 Tm 0.175 0.175 0.118 [8 per cell]

Computed properties:
Final energy, eV/atom: -4.358
Density, g/cm3: 7.49
ΔE_f, kJ/mol of formula units: 312

***

Computed, not measured: a geometry-optimized ErMgAl2Cu4 structure at the PBE level of DFT.

Unit cell a=4.2498 b=4.2498 c=24.5605 alpha=90.00 beta=90.00 gamma=120.00
Space group R-3m (No. 166, hexagonal axes)
One atom of each set of equivalent atoms:
1 Er 0.0000 0.0000 0.0000 [3 per cell]
2 Mg 0.0000 0.0000 0.5000 [3 per cell]
3 Al 0.0000 0.0000 0.2448 [6 per cell]
4 Cu 0.0000 0.0000 0.1196 [6 per cell]
5 Cu 0.0000 0.0000 0.3970 [6 per cell]

Computed properties:
Final energy, eV/atom: -4.005
Density, g/cm3: 6.48
ΔE_f, kJ/mol of formula units: -194

***

Computed, not measured: a geometry-optimized Pr2Ge3Pt4Rh structure at the PBE level of DFT.

Unit cell a=4.258 b=4.258 c=10.735 alpha=90.00 beta=90.00 gamma=90.00
Space group P-4m2 (No. 115)
One atom of each set of equivalent atoms:
1 Pr 0.000 0.500 0.244 [2 per cell]
2 Ge 0.000 0.000 0.000 [1 per cell]
3 Ge 0.000 0.500 0.630 [2 per cell]
4 Pt 0.000 0.000 0.500 [1 per cell]
5 Pt 0.000 0.500 0.856 [2 per cell]
6 Pt 0.500 0.500 0.500 [1 per cell]
7 Rh 0.500 0.500 0.000 [1 per cell]

Computed properties:
Final energy, eV/atom: -6.310
Density, g/cm3: 11.80
ΔE_f, kJ/mol of formula units: -789